Record 1
Here is a relaxed Zr7As2C2 crystal from Alexandria via LeMat-Bulk. Energies are from GGA-PBE.

abc: 3.3546 14.0334 8.4658
angles: 90.00 90.00 90.00
With the nearest neighbours (Å) after each atom.
Space group Imm2 (No. 44)
One atom of each set of equivalent atoms:
1 Zr 0.0000 0.0000 0.0000 x2  3 As 2.75-2.78
2 Zr 0.0000 0.1277 0.4135 x4  2 C 2.35
3 Zr 0.0000 0.3162 0.6087 x4  3 C 2.46-2.75
4 Zr 0.0000 0.3423 0.2644 x4  2 C 2.40
5 As 0.0000 0.0000 0.6711 x2  7 Zr 2.78-2.89
6 As 0.0000 0.5000 0.7571 x2  8 Zr 2.75-2.87
7 C 0.0000 0.2570 0.8823 x4  5 Zr 2.35-2.46

Summary:
- volume (Å³ per cell) = 398.54
- calculated formation energy (eV/atom) = -0.57
- density (g/cm³) = 6.77
- M_tot (μB/cell) = 0.0


Record 2
Here is a relaxed CsGaSb3 crystal from Alexandria via LeMat-Bulk. Energies are from GGA-PBE.

abc: 6.2361 6.2361 6.2361
angles: 90.00 90.00 90.00
With the nearest neighbours (Å) after each atom.
Space group Pm-3m (No. 221)
One atom of each set of equivalent atoms:
1 Cs 0.0000 0.0000 0.0000 x1  6 Sb 3.12
2 Ga 0.5000 0.5000 0.5000 x1  12 Sb 4.41
3 Sb 0.0000 0.0000 0.5000 x3  2 Cs 3.12

Summary:
- relative energy among the computed polymorphs (eV/atom) = 1.586
- volume (Å³ per cell) = 242.51
- density (g/cm³) = 3.89
- M_tot (μB/cell) = 0.0
- raw formation energy (meV/atom) = 1411


Record 3
Here is a relaxed PrCrAs2Rh5 crystal from Alexandria via LeMat-Bulk. Energies are from GGA-PBE.

abc: 4.0801 4.0801 11.9077
angles: 90.00 90.00 90.00
With the nearest neighbours (Å) after each atom.
Space group P4/mmm (No. 123)
One atom of each set of equivalent atoms:
1 Pr 0.0000 0.0000 0.0000 x1  12 Rh 2.89-2.98
2 Cr 0.5000 0.5000 0.5000 x1  2 As 2.49
3 As 0.5000 0.5000 0.2909 x2  4 Rh 2.41, 1 Cr 2.49
4 Rh 0.0000 0.5000 0.1824 x4  2 As 2.41
5 Rh 0.5000 0.5000 0.0000 x1  4 Pr 2.89, 8 Rh 2.98

Summary:
- volume (Å³ per cell) = 198.23
- calculated formation energy (eV/atom) = -0.03
- density (g/cm³) = 7.18
- M_tot (μB/cell) = 4.5


Record 4
Here is a relaxed PrThAu crystal from Alexandria via LeMat-Bulk. Energies are from GGA-PBE.

abc: 4.7079 4.7079 8.0427
angles: 90.00 90.00 90.00
With the nearest neighbours (Å) after each atom.
Space group P4/nmm (No. 129, origin choice 2)
One atom of each set of equivalent atoms:
1 Pr 0.2500 0.2500 0.1314 x2  1 Au 2.94
2 Th 0.2500 0.7500 0.5000 x2  4 Au 3.18, 4 Th 3.33
3 Au 0.2500 0.2500 0.7657 x2  1 Pr 2.94, 4 Th 3.18

Summary:
- relative energy among the computed polymorphs (eV/atom) = 0.005
- volume (Å³ per cell) = 178.26
- calculated formation energy (eV/atom) = -0.39
- density (g/cm³) = 10.62
- M_tot (μB/cell) = 0.0